Compound: RbWBr3
Source: Alexandria
Functional: PBE-GGA
Structure: optimized geometry

The structure in POSCAR format:
```
RbWBr3
1.0
9.269 -1.762 0.000
9.269 1.762 0.000
-4.632 0.000 8.641
Rb W Br
2 2 6
Cartesian
-0.162 0.000 3.025
14.069 0.000 5.616
4.130 0.000 0.824
9.776 0.000 7.818
1.769 0.000 0.007
1.724 0.000 5.886
5.932 0.000 2.659
7.974 0.000 5.982
12.183 0.000 2.756
12.138 0.000 8.634
```

Results
* SG: No. 12
* uncorrected formation energy: -648.3 meV per atom
* D(E_F): 1.1 states/eV/cell

***

Compound: Pr8Sn2Os
Source: Alexandria
Functional: PBE-GGA
Structure: optimized geometry

The structure in POSCAR format:
```
Pr8Sn2Os
1.0
9.917 -2.616 0.000
9.917 2.616 0.000
-2.164 0.000 6.673
Pr Sn Os
8 2 1
Cartesian
-0.337 0.000 1.918
2.545 0.000 5.414
5.902 0.000 3.440
8.029 0.000 0.347
9.642 0.000 6.326
11.769 0.000 3.233
15.125 0.000 1.259
18.007 0.000 4.755
3.004 0.000 1.563
14.666 0.000 5.110
8.835 0.000 3.336
```

Results
* formation enthalpy at 0 K: -303 meV per atom
* SG: No. 12
* D(E_F): 10.6 states/eV/cell

***

Compound: Sm12Co5Ge
Source: Alexandria
Functional: PBE-GGA
Structure: optimized geometry

The structure in POSCAR format:
```
Sm12Co5Ge
1.0
-4.780 4.827 4.961
4.780 -4.827 4.961
4.780 4.827 -4.961
Sm Co Ge
12 5 1
Cartesian
4.780 2.990 -2.906
2.827 1.798 0.000
6.732 1.798 0.000
1.875 4.827 -1.813
2.904 0.000 3.148
0.000 1.836 2.055
4.780 2.990 2.906
1.875 4.827 1.813
2.904 0.000 6.774
-1.952 3.029 4.961
1.952 3.029 4.961
0.000 1.836 7.868
0.000 0.000 0.000
4.780 0.000 1.122
0.000 3.636 0.000
0.000 6.017 0.000
0.000 4.827 3.839
0.000 0.000 4.961
```

Results
* formation enthalpy at 0 K: -182 meV per atom
* SG: No. 71
* D(E_F): 13.4 states/eV/cell

***

| no. | energy (eV/cell) | total magnetic moment (μB/f.u.) |
| --- | --- | --- |
| 1 | -44.361 | 0.0 |
| 2 | -60.803 | 0.0 |
| 3 | -100.045 | 0.0 |